(1)
DFT (PBE-GGA) results for a relaxed Tb5Pm3Y crystal.

a = 8.7487 Å, b = 8.7487 Å, c = 15.5936 Å
α = 90.00°, β = 90.00°, γ = 90.00°
Space group I4/mcm (No. 140)
One atom of each set of equivalent atoms:
Tb 0.0000 0.0000 0.0000
Tb 0.2105 0.2895 0.1376
Pm 0.0000 0.0000 0.2500
Pm 0.1168 0.3832 0.5000
Y 0.0000 0.5000 0.2500

Values from the calculation:
Crystal system: tetragonal
Formation energy: 0.268 eV per atom
Magnetic moment: 0.00 Bohr magnetons per cell

---

(2)
DFT (PBE-GGA) results for a relaxed CaAcLaRh crystal.

a = 7.2966 Å, b = 4.2088 Å, c = 10.1743 Å
α = 90.00°, β = 103.84°, γ = 90.00°
Space group Cm (No. 8)
One atom of each set of equivalent atoms:
Ca 0.0000 0.0000 0.0000
Ac 0.2816 0.5000 0.3392
La 0.0561 0.5000 0.6646
Rh 0.1718 0.0000 0.5108

Values from the calculation:
Crystal system: monoclinic
Formation energy: -0.392 eV per atom
Magnetic moment: 0.00 Bohr magnetons per cell

---

(3)
DFT (PBE-GGA) results for a relaxed RbZn2GeRu crystal.

a = 5.0208 Å, b = 5.0208 Å, c = 4.7273 Å
α = 90.00°, β = 90.00°, γ = 90.00°
Space group P4/mmm (No. 123)
One atom of each set of equivalent atoms:
Rb 0.0000 0.0000 0.0000
Zn 0.0000 0.5000 0.5000
Ge 0.5000 0.5000 0.0000
Ru 0.5000 0.5000 0.5000

Values from the calculation:
Crystal system: tetragonal
Formation energy: -0.064 eV per atom
Magnetic moment: 0.00 Bohr magnetons per cell

---

(4)
DFT (PBE-GGA) results for a relaxed Sc6Cd12Pb crystal.

a = 10.9365 Å, b = 10.9365 Å, c = 12.8523 Å
α = 90.00°, β = 90.00°, γ = 120.00°
Space group R-3 (No. 148, hexagonal axes)
One atom of each set of equivalent atoms:
Sc 0.0252 0.5951 0.2095
Cd 0.0395 0.8508 0.3030
Cd 0.0521 0.2106 0.9144
Pb 0.0000 0.0000 0.5000

Values from the calculation:
Crystal system: trigonal
Formation energy: -0.120 eV per atom
Magnetic moment: 0.65 Bohr magnetons per cell

---

(5)
DFT (PBE-GGA) results for a relaxed InSi2Se crystal.

a = 5.8625 Å, b = 5.8625 Å, c = 12.5061 Å
α = 90.00°, β = 90.00°, γ = 90.00°
Space group I-42d (No. 122)
One atom of each set of equivalent atoms:
In 0.0000 0.0000 0.0000
Si 0.2396 0.2500 0.6250
Se 0.0000 0.0000 0.5000

Values from the calculation:
Crystal system: tetragonal
Magnetic moment: 0.00 Bohr magnetons per cell
DFT total energy: -62.1 eV per cell

---

(6)
DFT (PBE-GGA) results for a relaxed Ac2CeNd3Te6 crystal.

a = 19.9553 Å, b = 4.5535 Å, c = 9.2213 Å
α = 90.00°, β = 103.38°, γ = 90.00°
Space group C2/m (No. 12)
One atom of each set of equivalent atoms:
Ac 0.1647 0.0000 0.3321
Ce 0.0000 0.5000 0.0000
Nd 0.0000 0.5000 0.5000
Nd 0.1701 0.0000 0.8381
Te 0.0054 0.0000 0.7525
Te 0.1642 0.5000 0.5931
Te 0.1650 0.5000 0.0741

Values from the calculation:
Crystal system: monoclinic
Magnetic moment: 2.70 Bohr magnetons per cell
DFT total energy: -129.0 eV per cell

---

(7)
DFT (PBE-GGA) results for a relaxed Be2HgTe crystal.

a = 3.7470 Å, b = 6.6689 Å, c = 6.8725 Å
α = 90.00°, β = 90.00°, γ = 90.00°
Space group Immm (No. 71)
One atom of each set of equivalent atoms:
Be 0.0000 0.0000 0.2385
Hg 0.0000 0.5000 0.5000
Te 0.0000 0.5000 0.0000

Values from the calculation:
Crystal system: orthorhombic
Magnetic moment: 0.00 Bohr magnetons per cell
DFT total energy: -17.0 eV per cell

---

(8)
DFT (PBE-GGA) results for a relaxed Ac4LaPr8 crystal.

a = 12.3900 Å, b = 12.3900 Å, c = 12.2134 Å
α = 90.00°, β = 90.00°, γ = 120.00°
Space group R-3m (No. 166, hexagonal axes)
One atom of each set of equivalent atoms:
Ac 0.0000 0.0000 0.0000
Ac 0.0000 0.5000 0.0000
La 0.0000 0.0000 0.5000
Pr 0.0000 0.0000 0.2497
Pr 0.0056 0.5028 0.6610

Values from the calculation:
Crystal system: trigonal
Formation energy: 0.398 eV per atom
Magnetic moment: 0.00 Bohr magnetons per cell

---

(9)
DFT (PBE-GGA) results for a relaxed H3PdO3 crystal.

a = 5.7234 Å, b = 5.7234 Å, c = 13.2720 Å
α = 90.00°, β = 90.00°, γ = 120.00°
Space group R-3 (No. 148, hexagonal axes)
One atom of each set of equivalent atoms:
H 0.0291 0.5256 0.3561
Pd 0.0000 0.0000 0.1628
O 0.0059 0.6286 0.4122

Values from the calculation:
Crystal system: trigonal
Magnetic moment: 6.16 Bohr magnetons per cell
DFT total energy: -208.3 eV per cell

---

(10)
DFT (PBE-GGA) results for a relaxed Li3Nd2Ge2 crystal.

a = 10.2775 Å, b = 4.6846 Å, c = 6.3543 Å
α = 90.00°, β = 101.74°, γ = 90.00°
Space group C2/m (No. 12)
One atom of each set of equivalent atoms:
Li 0.0000 0.0000 0.0000
Li 0.1155 0.0000 0.4304
Nd 0.1460 0.5000 0.7672
Ge 0.1558 0.5000 0.2532

Values from the calculation:
Crystal system: monoclinic
Formation energy: -0.497 eV per atom
Magnetic moment: 0.59 Bohr magnetons per cell

---

(11)
DFT (PBE-GGA) results for a relaxed K2IBr4 crystal.

a = 5.4876 Å, b = 5.4876 Å, c = 21.5042 Å
α = 90.00°, β = 90.00°, γ = 90.00°
Space group I4/mmm (No. 139)
One atom of each set of equivalent atoms:
K 0.0000 0.0000 0.1748
I 0.0000 0.0000 0.5000
Br 0.0000 0.0000 0.3220
Br 0.0000 0.5000 0.0000

Values from the calculation:
Crystal system: tetragonal
Magnetic moment: 0.00 Bohr magnetons per cell
DFT total energy: -33.1 eV per cell

---

(12)
DFT (PBE-GGA) results for a relaxed LaZrCu crystal.

a = 4.7905 Å, b = 8.1666 Å, c = 7.3418 Å
α = 90.00°, β = 90.00°, γ = 90.00°
Space group Cmcm (No. 63)
One atom of each set of equivalent atoms:
La 0.0000 0.0000 0.0000
Zr 0.0000 0.3375 0.2500
Cu 0.0000 0.3298 0.7500

Values from the calculation:
Crystal system: orthorhombic
Formation energy: 0.193 eV per atom
Magnetic moment: 0.00 Bohr magnetons per cell

---

(13)
DFT (PBE-GGA) results for a relaxed AlTlPt2 crystal.

a = 3.0341 Å, b = 3.0341 Å, c = 26.6847 Å
α = 90.00°, β = 90.00°, γ = 120.00°
Space group R-3m (No. 166, hexagonal axes)
One atom of each set of equivalent atoms:
Al 0.0000 0.0000 0.0000
Tl 0.0000 0.0000 0.5000
Pt 0.0000 0.0000 0.2627

Values from the calculation:
Crystal system: trigonal
Formation energy: -0.353 eV per atom
Magnetic moment: 0.00 Bohr magnetons per cell

---

(14)
DFT (PBE-GGA) results for a relaxed PuPdRuAu crystal.

a = 6.6103 Å, b = 6.6103 Å, c = 6.6103 Å
α = 90.00°, β = 90.00°, γ = 90.00°
Space group F-43m (No. 216)
One atom of each set of equivalent atoms:
Pu 0.0000 0.0000 0.0000
Pd 0.2500 0.2500 0.7500
Ru 0.2500 0.2500 0.2500
Au 0.0000 0.0000 0.5000

Values from the calculation:
Crystal system: cubic
Formation energy: -0.202 eV per atom
Magnetic moment: 16.06 Bohr magnetons per cell

---

(15)
DFT (PBE-GGA) results for a relaxed CaMoSe2 crystal.

a = 3.3217 Å, b = 3.3217 Å, c = 6.9578 Å
α = 90.00°, β = 90.00°, γ = 90.00°
Space group P4/mmm (No. 123)
One atom of each set of equivalent atoms:
Ca 0.0000 0.0000 0.0000
Mo 0.0000 0.0000 0.5000
Se 0.5000 0.5000 0.2827

Values from the calculation:
Crystal system: tetragonal
Magnetic moment: 0.68 Bohr magnetons per cell
DFT total energy: -21.8 eV per cell

---

(16)
DFT (PBE-GGA) results for a relaxed BiCl2F crystal.

a = 4.4986 Å, b = 4.4986 Å, c = 17.8705 Å
α = 90.00°, β = 90.00°, γ = 90.00°
Space group I-42d (No. 122)
One atom of each set of equivalent atoms:
Bi 0.0000 0.0000 0.0000
Cl 0.2418 0.2500 0.1250
F 0.0000 0.0000 0.5000

Values from the calculation:
Crystal system: tetragonal
Magnetic moment: 0.00 Bohr magnetons per cell
DFT total energy: -49.0 eV per cell

---

(17)
DFT (PBE-GGA) results for a relaxed AcLaTmSn crystal.

a = 7.9825 Å, b = 7.9825 Å, c = 7.9825 Å
α = 90.00°, β = 90.00°, γ = 90.00°
Space group F-43m (No. 216)
One atom of each set of equivalent atoms:
Ac 0.0000 0.0000 0.0000
La 0.2500 0.2500 0.2500
Tm 0.2500 0.2500 0.7500
Sn 0.0000 0.0000 0.5000

Values from the calculation:
Crystal system: cubic
Formation energy: -0.177 eV per atom
Magnetic moment: 0.00 Bohr magnetons per cell

---

(18)
DFT (PBE-GGA) results for a relaxed DyTm3Au2 crystal.

a = 6.9641 Å, b = 13.7588 Å, c = 7.2049 Å
α = 90.00°, β = 90.00°, γ = 90.00°
Space group Ibam (No. 72)
One atom of each set of equivalent atoms:
Dy 0.0000 0.0000 0.0000
Tm 0.0000 0.2334 0.2500
Tm 0.0000 0.5000 0.2500
Au 0.2045 0.3578 0.0000

Values from the calculation:
Crystal system: orthorhombic
Formation energy: -0.474 eV per atom
Magnetic moment: 0.00 Bohr magnetons per cell

---

(19)
DFT (PBE-GGA) results for a relaxed KMnTe2 crystal.

a = 4.9192 Å, b = 3.9146 Å, c = 7.6142 Å
α = 90.00°, β = 96.66°, γ = 90.00°
Space group P2/m (No. 10)
One atom of each set of equivalent atoms:
K 0.0000 0.0000 0.0000
Mn 0.5000 0.0000 0.5000
Te 0.4535 0.5000 0.7323

Values from the calculation:
Crystal system: monoclinic
Magnetic moment: 4.03 Bohr magnetons per cell
DFT total energy: -18.4 eV per cell

---

(20)
DFT (PBE-GGA) results for a relaxed La4YMg crystal.

a = 3.7587 Å, b = 3.7587 Å, c = 14.5294 Å
α = 90.00°, β = 90.00°, γ = 90.00°
Space group P4/mmm (No. 123)
One atom of each set of equivalent atoms:
La 0.0000 0.0000 0.1527
La 0.5000 0.5000 0.3268
Y 0.0000 0.0000 0.5000
Mg 0.5000 0.5000 0.0000

Values from the calculation:
Crystal system: tetragonal
Formation energy: -0.024 eV per atom
Magnetic moment: 0.00 Bohr magnetons per cell

---

(21)
DFT (PBE-GGA) results for a relaxed ErSbPd6 crystal.

a = 5.7412 Å, b = 5.7412 Å, c = 4.1061 Å
α = 90.00°, β = 90.00°, γ = 90.00°
Space group P4/mmm (No. 123)
One atom of each set of equivalent atoms:
Er 0.0000 0.0000 0.0000
Sb 0.5000 0.5000 0.0000
Pd 0.0000 0.5000 0.0000
Pd 0.2510 0.2510 0.5000

Values from the calculation:
Crystal system: tetragonal
Magnetic moment: 0.00 Bohr magnetons per cell
DFT total energy: -44.9 eV per cell

---

(22)
DFT (PBE-GGA) results for a relaxed VInTcIr crystal.

a = 6.2826 Å, b = 6.2826 Å, c = 6.2826 Å
α = 90.00°, β = 90.00°, γ = 90.00°
Space group F-43m (No. 216)
One atom of each set of equivalent atoms:
V 0.0000 0.0000 0.0000
In 0.0000 0.0000 0.5000
Tc 0.2500 0.2500 0.2500
Ir 0.2500 0.2500 0.7500

Values from the calculation:
Crystal system: cubic
Formation energy: -0.102 eV per atom
Magnetic moment: 0.00 Bohr magnetons per cell

---

(23)
DFT (PBE-GGA) results for a relaxed TePPt2 crystal.

a = 5.2464 Å, b = 5.2464 Å, c = 5.5299 Å
α = 90.00°, β = 90.00°, γ = 90.00°
Space group I4/mmm (No. 139)
One atom of each set of equivalent atoms:
Te 0.0000 0.0000 0.0000
P 0.0000 0.0000 0.5000
Pt 0.0000 0.5000 0.0000

Values from the calculation:
Crystal system: tetragonal
Magnetic moment: 0.00 Bohr magnetons per cell
DFT total energy: -41.2 eV per cell

---

(24)
DFT (PBE-GGA) results for a relaxed Ba2MnSn4Pt3 crystal.

a = 4.7444 Å, b = 4.7444 Å, c = 11.0877 Å
α = 90.00°, β = 90.00°, γ = 90.00°
Space group P-4m2 (No. 115)
One atom of each set of equivalent atoms:
Ba 0.0000 0.5000 0.2473
Mn 0.5000 0.5000 0.0000
Sn 0.0000 0.0000 0.5000
Sn 0.0000 0.5000 0.8745
Sn 0.5000 0.5000 0.5000
Pt 0.0000 0.0000 0.0000
Pt 0.0000 0.5000 0.6247

Values from the calculation:
Crystal system: tetragonal
Formation energy: -0.643 eV per atom
Magnetic moment: 3.55 Bohr magnetons per cell

---

(25)
DFT (PBE-GGA) results for a relaxed YTcSe2 crystal.

a = 4.6990 Å, b = 4.6990 Å, c = 3.3729 Å
α = 90.00°, β = 90.00°, γ = 90.00°
Space group P4/mmm (No. 123)
One atom of each set of equivalent atoms:
Y 0.0000 0.0000 0.0000
Tc 0.5000 0.5000 0.0000
Se 0.0000 0.5000 0.5000

Values from the calculation:
Crystal system: tetragonal
Magnetic moment: 0.00 Bohr magnetons per cell
DFT total energy: -26.2 eV per cell